The following is a DFT calculation (PBE) of a geometry-optimized LuHfPb2 structure.

Lattice parameters (Å, degrees): 4.819 4.819 4.347 90.00 90.00 90.00
Sites, in units of the cell vectors:
1 Lu 0.000 0.000 0.000
2 Hf 0.500 0.500 0.000
3 Pb 0.000 0.500 0.500
4 Pb 0.500 0.000 0.500

ΔE to the lowest computed polymorph = 13 kJ/mol of formula units
E_tot = -5.526 eV per atom
energy of formation from the pure elements = -0.05 eV per atom